## TaOsRu2 (PBE)

Data for an optimized crystal structure of TaOsRu2.

Computed properties:
Total magnetic moment (Bohr magnetons per cell): 0.00
E_form (eV per atom): -0.06
N(E_F) (states/eV/atom): 1.1399
Polymorph energy (0 for the lowest one) (meV per atom): 117
Total energy (eV per atom): -10.467

abc: 2.7975 3.8448 5.6125
angles: 90.00 90.00 90.00
Last column: nearest neighbours and their distance in Å.
Element x y z (fractional)
Ta (0.0000, 0.0000, 0.0000)  6 Ru 2.78-2.83, 2 Ta 2.80, 4 Os 2.82
Os (0.5000, 0.5000, 0.7285)  6 Ru 2.65-2.96, 2 Os 2.80, 4 Ta 2.82
Ru (0.0000, 0.0000, 0.5047)  4 Os 2.69, 6 Ru 2.76-2.80, 2 Ta 2.78-2.83
Ru (0.5000, 0.5000, 0.2565)  2 Os 2.65-2.96, 6 Ru 2.76-2.80, 4 Ta 2.78